# SrFeF3, relaxed, DFT PBE+U
data_SrFeF3
_chemical_formula_sum 'Sr1 Fe1 F3'
_cell_length_a 4.260
_cell_length_b 4.260
_cell_length_c 4.260
_cell_angle_alpha 90.00
_cell_angle_beta 90.00
_cell_angle_gamma 90.00
_space_group_name_H-M_alt 'P m -3 m'
_space_group_IT_number 221
_space_group_name_Hall '-P 4 2 3'
loop_
_atom_site_label
_atom_site_type_symbol
_atom_site_fract_x
_atom_site_fract_y
_atom_site_fract_z
Sr1 Sr 0.000 0.000 0.000
Fe1 Fe 0.500 0.500 0.500
F1 F 0.000 0.500 0.500
# Energy in eV/atom: -4.8078